[1]
Here is a geometry-optimized Y12Ni5Pb structure from the Alexandria database. Energies are from PBE.

## Properties
ΔH_f (0 K) = -350 meV per atom
Size of the total moment = 0.00 μB per formula unit

```
data_Y12Ni5Pb
_space_group_name_H-M_alt 'P 1'
_space_group_IT_number 1
_cell_length_a 8.389
_cell_length_b 8.389
_cell_length_c 8.389
_cell_angle_alpha 111.52
_cell_angle_beta 109.72
_cell_angle_gamma 107.20
loop_
_space_group_symop_operation_xyz
'x,y,z'
loop_
_atom_site_label
_atom_site_fract_x
_atom_site_fract_y
_atom_site_fract_z
Y1 0.018 0.210 0.808
Y2 0.181 0.294 0.476
Y3 0.181 0.706 0.887
Y4 0.321 0.016 0.694
Y5 0.321 0.627 0.306
Y6 0.402 0.210 0.192
Y7 0.598 0.790 0.808
Y8 0.679 0.373 0.694
Y9 0.679 0.984 0.306
Y10 0.819 0.294 0.113
Y11 0.819 0.706 0.524
Y12 0.982 0.790 0.192
Ni1 0.000 0.000 0.000
Ni2 0.123 0.623 0.500
Ni3 0.367 0.000 0.367
Ni4 0.633 0.000 0.633
Ni5 0.877 0.377 0.500
Pb1 0.500 0.500 0.000
```

[2]
Here is a geometry-optimized NaTbHgAu structure from the Alexandria database. Energies are from PBE.

## Properties
ΔH_f (0 K) = -450 meV per atom
Size of the total moment = 0.00 μB per formula unit

```
data_NaTbHgAu
_space_group_name_H-M_alt 'P 1'
_space_group_IT_number 1
_cell_length_a 5.089
_cell_length_b 5.089
_cell_length_c 5.089
_cell_angle_alpha 60.00
_cell_angle_beta 60.00
_cell_angle_gamma 60.00
loop_
_space_group_symop_operation_xyz
'x,y,z'
loop_
_atom_site_label
_atom_site_fract_x
_atom_site_fract_y
_atom_site_fract_z
Na1 0.000 0.000 0.000
Tb1 0.500 0.500 0.500
Hg1 0.250 0.250 0.250
Au1 0.750 0.750 0.750
```

[3]
Here is a geometry-optimized AcHf2IrO8 structure from the Alexandria database. Energies are from PBE.

## Properties
E_form (uncorrected) = -2944 kJ/mol of formula units
Size of the total moment = 0.00 μB per formula unit

```
data_AcHf2IrO8
_space_group_name_H-M_alt 'P 1'
_space_group_IT_number 1
_cell_length_a 4.979
_cell_length_b 6.675
_cell_length_c 4.994
_cell_angle_alpha 90.00
_cell_angle_beta 91.56
_cell_angle_gamma 90.00
loop_
_space_group_symop_operation_xyz
'x,y,z'
loop_
_atom_site_label
_atom_site_fract_x
_atom_site_fract_y
_atom_site_fract_z
Ac1 0.000 0.000 0.000
Hf1 0.500 0.255 0.500
Hf2 0.500 0.745 0.500
Ir1 0.000 0.500 0.000
O1 0.213 0.299 0.208
O2 0.213 0.701 0.208
O3 0.283 0.500 0.713
O4 0.327 0.000 0.664
O5 0.673 0.000 0.336
O6 0.717 0.500 0.287
O7 0.787 0.299 0.792
O8 0.787 0.701 0.792
```

[4]
Here is a geometry-optimized OsPbF6 structure from the Alexandria database. Energies are from PBE.

## Properties
E_form (uncorrected) = -1480 kJ/mol of formula units
Size of the total moment = 2.00 μB per formula unit

```
data_OsPbF6
_space_group_name_H-M_alt 'P 1'
_space_group_IT_number 1
_cell_length_a 5.527
_cell_length_b 5.527
_cell_length_c 5.322
_cell_angle_alpha 90.00
_cell_angle_beta 90.00
_cell_angle_gamma 120.00
loop_
_space_group_symop_operation_xyz
'x,y,z'
loop_
_atom_site_label
_atom_site_fract_x
_atom_site_fract_y
_atom_site_fract_z
Os1 0.000 0.000 0.000
Pb1 0.333 0.667 0.500
F1 0.289 0.003 0.220
F2 0.289 0.286 0.780
F3 0.714 0.003 0.780
F4 0.714 0.711 0.220
F5 0.997 0.286 0.220
F6 0.997 0.711 0.780
```

Look up the size of the total moment of the first one.
0.00 μB per formula unit